No. 1
A relaxed structure of Tb10Dy4Zr, computed with PBE-GGA.

a = 8.808 Å, b = 8.808 Å, c = 8.808 Å
α = 101.17°, β = 101.17°, γ = 127.78°
Fractional coordinates of all 15 atoms:
Tb1 0.004 0.212 0.792
Tb2 0.212 0.004 0.792
Tb3 0.212 0.421 0.208
Tb4 0.250 0.750 0.500
Tb5 0.421 0.212 0.208
Tb6 0.579 0.788 0.792
Tb7 0.750 0.250 0.500
Tb8 0.788 0.579 0.792
Tb9 0.788 0.996 0.208
Tb10 0.996 0.788 0.208
Dy1 0.272 0.272 0.544
Dy2 0.272 0.728 0.000
Dy3 0.728 0.272 0.000
Dy4 0.728 0.728 0.456
Zr1 0.500 0.500 0.000

Results
DOS(E_F): 20.65 states/eV per cell
crystal system: tetragonal
formation enthalpy at 0 K: 233 meV/atom

***

No. 2
A relaxed structure of Tb2DyZr, computed with PBE-GGA.

a = 11.387 Å, b = 11.387 Å, c = 11.387 Å
α = 17.51°, β = 17.51°, γ = 17.51°
Fractional coordinates of all 4 atoms:
Tb1 0.000 0.000 0.000
Tb2 0.176 0.176 0.176
Dy1 0.755 0.755 0.755
Zr1 0.588 0.588 0.588

Results
excess energy over the best structure of this formula in the dataset: 0.000 eV per atom
DOS(E_F): 6.36 states/eV per cell
crystal system: trigonal
formation enthalpy at 0 K: 81 meV/atom

***

No. 3
A relaxed structure of Tb2DyZr, computed with PBE-GGA.

a = 11.486 Å, b = 11.486 Å, c = 11.486 Å
α = 17.25°, β = 17.25°, γ = 17.25°
Fractional coordinates of all 4 atoms:
Tb1 0.245 0.245 0.245
Tb2 0.755 0.755 0.755
Dy1 0.000 0.000 0.000
Zr1 0.500 0.500 0.500

Results
excess energy over the best structure of this formula in the dataset: 0.004 eV per atom
DOS(E_F): 5.14 states/eV per cell
crystal system: trigonal
formation enthalpy at 0 K: 86 meV/atom

***

No. 4
A relaxed structure of TbDy2Zr, computed with PBE-GGA.

a = 11.368 Å, b = 11.368 Å, c = 11.368 Å
α = 17.52°, β = 17.52°, γ = 17.52°
Fractional coordinates of all 4 atoms:
Tb1 0.000 0.000 0.000
Dy1 0.578 0.578 0.578
Dy2 0.755 0.755 0.755
Zr1 0.166 0.166 0.166

Results
excess energy over the best structure of this formula in the dataset: 0.000 eV per atom
DOS(E_F): 6.38 states/eV per cell
crystal system: trigonal
formation enthalpy at 0 K: 76 meV/atom

***

No. 5
A relaxed structure of Tb4Dy8Zr, computed with PBE-GGA.

a = 7.657 Å, b = 7.657 Å, c = 7.657 Å
α = 90.15°, β = 90.15°, γ = 90.15°
Fractional coordinates of all 13 atoms:
Tb1 0.000 0.000 0.000
Tb2 0.000 0.500 0.500
Tb3 0.500 0.000 0.500
Tb4 0.500 0.500 0.000
Dy1 0.244 0.244 0.244
Dy2 0.244 0.244 0.754
Dy3 0.244 0.754 0.244
Dy4 0.246 0.756 0.756
Dy5 0.754 0.244 0.244
Dy6 0.756 0.246 0.756
Dy7 0.756 0.756 0.246
Dy8 0.756 0.756 0.756
Zr1 0.500 0.500 0.500

Results
DOS(E_F): 23.05 states/eV per cell
crystal system: trigonal
formation enthalpy at 0 K: 535 meV/atom

***

No. 6
A relaxed structure of Tb8Dy5Zr, computed with PBE-GGA.

a = 8.389 Å, b = 8.389 Å, c = 9.297 Å
α = 123.28°, β = 123.28°, γ = 70.65°
Fractional coordinates of all 14 atoms:
Tb1 0.002 0.002 0.319
Tb2 0.128 0.519 0.019
Tb3 0.286 0.286 0.287
Tb4 0.404 0.155 0.780
Tb5 0.481 0.872 0.981
Tb6 0.714 0.714 0.713
Tb7 0.845 0.596 0.220
Tb8 0.998 0.998 0.681
Dy1 0.126 0.516 0.623
Dy2 0.484 0.874 0.377
Dy3 0.644 0.356 0.286
Dy4 0.644 0.356 0.714
Dy5 0.877 0.123 0.000
Zr1 0.266 0.734 0.500

Results
DOS(E_F): 14.60 states/eV per cell
crystal system: monoclinic
formation enthalpy at 0 K: 192 meV/atom

***

No. 7
A relaxed structure of Tb6Dy12Zr, computed with PBE-GGA.

a = 8.620 Å, b = 8.620 Å, c = 8.620 Å
α = 98.56°, β = 98.56°, γ = 98.56°
Fractional coordinates of all 19 atoms:
Tb1 0.166 0.593 0.593
Tb2 0.407 0.407 0.834
Tb3 0.407 0.834 0.407
Tb4 0.593 0.166 0.593
Tb5 0.593 0.593 0.166
Tb6 0.834 0.407 0.407
Dy1 0.000 0.257 0.743
Dy2 0.000 0.743 0.257
Dy3 0.148 0.148 0.418
Dy4 0.148 0.418 0.148
Dy5 0.257 0.000 0.743
Dy6 0.257 0.743 0.000
Dy7 0.418 0.148 0.148
Dy8 0.582 0.852 0.852
Dy9 0.743 0.000 0.257
Dy10 0.743 0.257 0.000
Dy11 0.852 0.582 0.852
Dy12 0.852 0.852 0.582
Zr1 0.500 0.500 0.500

Results
DOS(E_F): 35.53 states/eV per cell
crystal system: trigonal
formation enthalpy at 0 K: 246 meV/atom

***

No. 8
A relaxed structure of Tb2Dy8Zr, computed with PBE-GGA.

a = 9.278 Å, b = 9.278 Å, c = 7.860 Å
α = 104.73°, β = 104.73°, γ = 30.96°
Fractional coordinates of all 11 atoms:
Tb1 0.226 0.226 0.135
Tb2 0.774 0.774 0.865
Dy1 0.044 0.044 0.236
Dy2 0.132 0.132 0.675
Dy3 0.321 0.321 0.590
Dy4 0.411 0.411 0.056
Dy5 0.589 0.589 0.944
Dy6 0.679 0.679 0.410
Dy7 0.868 0.868 0.325
Dy8 0.956 0.956 0.764
Zr1 0.500 0.500 0.500

Results
excess energy over the best structure of this formula in the dataset: 0.000 eV per atom
DOS(E_F): 14.04 states/eV per cell
crystal system: monoclinic
formation enthalpy at 0 K: 42 meV/atom

***

Q: Which formula does entry 3 have?
A: Tb2DyZr